*w*
Ho2NiSn after structural relaxation. Source: Alexandria via LeMat-Bulk, functional GGA-PBE.

abc: 5.0700 5.0700 5.0700
angles: 60.00 60.00 60.00
Last column: nearest neighbours and their distance in Å.
Fractional coordinates of all 4 atoms:
Sn 0.5000 0.5000 0.5000  8 Ho 3.10
Ni 0.0000 0.0000 0.0000  8 Ho 3.10
Ho 0.2500 0.2500 0.2500  4 Sn 3.10, 4 Ni 3.10
Ho 0.7500 0.7500 0.7500  4 Ni 3.10, 4 Sn 3.10

Output
calculated volume = 92 Å³ per cell
total moment = 0.00 μB/cell
DOS at the Fermi energy = 1.8 states/eV per cell

=====

*x*
Ho2NiSn after structural relaxation. Source: Alexandria via LeMat-Bulk, functional GGA-PBE.

abc: 3.7650 3.7650 9.5953
angles: 78.69 78.69 60.00
Last column: nearest neighbours and their distance in Å.
Fractional coordinates of all 4 atoms:
Ho 0.8881 0.8881 0.3357  3 Ni 2.66
Ho 0.1119 0.1119 0.6643  3 Ni 2.66
Ni 0.5000 0.5000 0.5000  6 Ho 2.66
Sn 0.0000 0.0000 0.0000  2 Ho 3.14

Output
calculated volume = 115 Å³ per cell
total moment = 0.00 μB/cell
DOS at the Fermi energy = 4.0 states/eV per cell

=====

*y*
Ho2NiSn after structural relaxation. Source: Alexandria via LeMat-Bulk, functional GGA-PBE.

abc: 3.4582 3.4582 7.5799
angles: 90.00 90.00 90.00
Last column: nearest neighbours and their distance in Å.
Fractional coordinates of all 4 atoms:
Sn 0.5000 0.5000 0.5000  8 Ho 3.27, 4 Sn 3.46
Ho 0.0000 0.0000 0.2132  4 Ni 2.93, 1 Ho 3.23, 4 Sn 3.27
Ho 0.0000 0.0000 0.7868  4 Ni 2.93, 1 Ho 3.23, 4 Sn 3.27
Ni 0.5000 0.5000 0.0000  8 Ho 2.93

Output
calculated volume = 91 Å³ per cell
total moment = 0.00 μB/cell
DOS at the Fermi energy = 1.8 states/eV per cell

=====

The winner here is *y*, beating the second structure by 7.0 kJ/mol of atoms.

=====

*w*
SrHo2Ni after structural relaxation. Source: Alexandria via LeMat-Bulk, functional GGA-PBE.

abc: 3.4767 3.4767 9.6039
angles: 90.00 90.00 90.00
Last column: nearest neighbours and their distance in Å.
Fractional coordinates of all 4 atoms:
Ni 0.5000 0.5000 0.0000  8 Ho 2.92
Ho 0.0000 0.0000 0.8361  4 Ni 2.92, 1 Ho 3.15
Ho 0.0000 0.0000 0.1639  4 Ni 2.92, 1 Ho 3.15
Sr 0.5000 0.5000 0.5000  4 Sr 3.48

Output
calculated volume = 116 Å³ per cell
total moment = 0.00 μB/cell
DOS at the Fermi energy = 5.1 states/eV per cell

=====

*x*
SrHo2Ni after structural relaxation. Source: Alexandria via LeMat-Bulk, functional GGA-PBE.

abc: 3.9211 3.9211 10.6857
angles: 79.43 79.43 60.00
Last column: nearest neighbours and their distance in Å.
Fractional coordinates of all 4 atoms:
Sr 0.0000 0.0000 0.0000  2 Ho 3.79, 6 Sr 3.92
Ni 0.5000 0.5000 0.5000  6 Ho 2.68
Ho 0.1210 0.1210 0.6369  3 Ni 2.68
Ho 0.8790 0.8790 0.3631  3 Ni 2.68

Output
calculated volume = 139 Å³ per cell
total moment = 0.00 μB/cell
DOS at the Fermi energy = 3.8 states/eV per cell

=====

The winner here is *w*, beating the second structure by 8.6 kJ/mol of atoms.

=====

*w*
Tb2HoNi after structural relaxation. Source: Alexandria via LeMat-Bulk, functional GGA-PBE.

abc: 6.3079 6.8455 9.6176
angles: 90.00 90.00 90.00
Last column: nearest neighbours and their distance in Å.
Fractional coordinates of all 16 atoms:
Ho 0.3582 0.4657 0.7500  2 Ni 2.73-2.78
Ho 0.8582 0.0343 0.2500  2 Ni 2.73-2.78
Ho 0.1418 0.9657 0.7500  2 Ni 2.73-2.78
Ho 0.6418 0.5343 0.2500  2 Ni 2.73-2.78
Tb 0.1772 0.6793 0.4341  2 Ni 2.77-2.84
Tb 0.1772 0.6793 0.0659  2 Ni 2.77-2.84
Tb 0.8228 0.3207 0.5659  2 Ni 2.77-2.84
Tb 0.3228 0.1793 0.0659  2 Ni 2.77-2.84
Tb 0.3228 0.1793 0.4341  2 Ni 2.77-2.84
Tb 0.6772 0.8207 0.9341  2 Ni 2.77-2.84
Tb 0.6772 0.8207 0.5659  2 Ni 2.77-2.84
Tb 0.8228 0.3207 0.9341  2 Ni 2.77-2.84
Ni 0.4460 0.8898 0.2500  2 Ho 2.73-2.78, 4 Tb 2.77-2.84
Ni 0.9460 0.6102 0.7500  2 Ho 2.73-2.78, 4 Tb 2.77-2.84
Ni 0.5540 0.1102 0.7500  2 Ho 2.73-2.78, 4 Tb 2.77-2.84
Ni 0.0540 0.3898 0.2500  2 Ho 2.73-2.78, 4 Tb 2.77-2.84

Output
calculated volume = 415 Å³ per cell
total moment = 0.00 μB/cell
DOS at the Fermi energy = 16.2 states/eV per cell

=====

*x*
Tb2HoNi after structural relaxation. Source: Alexandria via LeMat-Bulk, functional GGA-PBE.

abc: 3.6538 6.2175 9.5555
angles: 90.00 90.00 107.06
Last column: nearest neighbours and their distance in Å.
Fractional coordinates of all 8 atoms:
Ho 0.0821 0.1642 0.7500  2 Ni 2.83
Ho 0.9179 0.8358 0.2500  2 Ni 2.83
Ni 0.7637 0.5280 0.7500  4 Tb 2.78, 2 Ho 2.83
Ni 0.2363 0.4720 0.2500  4 Tb 2.78, 2 Ho 2.83
Tb 0.6372 0.2731 0.4307  2 Ni 2.78
Tb 0.3628 0.7269 0.5693  2 Ni 2.78
Tb 0.6372 0.2731 0.0693  2 Ni 2.78
Tb 0.3628 0.7269 0.9307  2 Ni 2.78

Output
calculated volume = 208 Å³ per cell
total moment = 0.00 μB/cell
DOS at the Fermi energy = 10.5 states/eV per cell

=====

The winner here is *w*, beating the second structure by 3.0 kJ/mol of atoms.

=====

*w*
Tb2HoNi after structural relaxation. Source: Alexandria via LeMat-Bulk, functional GGA-PBE.

abc: 3.5722 3.5722 10.5499
angles: 80.25 80.25 60.00
Last column: nearest neighbours and their distance in Å.
Fractional coordinates of all 4 atoms:
Tb 0.1106 0.1106 0.6682  3 Ni 2.70
Tb 0.8894 0.8894 0.3318  3 Ni 2.70
Ni 0.5000 0.5000 0.5000  6 Tb 2.70
Ho 0.0000 0.0000 0.0000  2 Tb 3.43, 6 Ho 3.57

Output
calculated volume = 114 Å³ per cell
total moment = 0.00 μB/cell
DOS at the Fermi energy = 6.0 states/eV per cell

=====

*x*
Tb2HoNi after structural relaxation. Source: Alexandria via LeMat-Bulk, functional GGA-PBE.

abc: 3.7874 3.7874 9.1715
angles: 78.08 78.08 60.00
Last column: nearest neighbours and their distance in Å.
Fractional coordinates of all 4 atoms:
Tb 0.2731 0.2731 0.1807  3 Ni 2.70
Tb 0.0598 0.0598 0.8206  3 Ni 2.72
Ho 0.5013 0.5013 0.4960  6 Tb 3.56-3.63, 6 Ho 3.79
Ni 0.6658 0.6658 0.0027  6 Tb 2.70-2.72

Output
calculated volume = 111 Å³ per cell
total moment = 0.00 μB/cell
DOS at the Fermi energy = 4.9 states/eV per cell

=====

The winner here is *x*, beating the second structure by 17.2 kJ/mol of atoms.

=====

*w*
TbHo3Ni after structural relaxation. Source: Alexandria via LeMat-Bulk, functional GGA-PBE.

abc: 3.6345 6.4108 12.3605
angles: 78.77 81.55 73.53
Last column: nearest neighbours and their distance in Å.
Fractional coordinates of all 10 atoms:
Ni 0.7692 0.2956 0.1659  4 Tb 2.73-2.91, 3 Ho 2.76-2.89
Ni 0.4441 0.3696 0.7421  7 Ho 2.72-2.91
Ho 0.4608 0.9451 0.1334  2 Ni 2.89
Ho 0.7507 0.7244 0.7742  2 Ni 2.91
Ho 0.1127 0.1720 0.6026  2 Ni 2.89
Ho 0.4082 0.6428 0.5408  1 Ni 2.75
Ho 0.8033 0.0244 0.3690  1 Ni 2.76
Ho 0.9838 0.1485 0.8838  2 Ni 2.72
Tb 0.2292 0.5188 0.0228  2 Ni 2.73
Tb 0.0988 0.4955 0.3069  2 Ni 2.91

Output
calculated volume = 270 Å³ per cell
total moment = 0.00 μB/cell
DOS at the Fermi energy = 12.9 states/eV per cell

=====

*x*
TbHo3Ni after structural relaxation. Source: Alexandria via LeMat-Bulk, functional GGA-PBE.

abc: 5.1733 6.3218 8.2210
angles: 94.47 90.00 89.96
Last column: nearest neighbours and their distance in Å.
Fractional coordinates of all 10 atoms:
Ni 0.3768 0.7104 0.6682  2 Ho 2.55-2.59, 1 Tb 2.73
Ni 0.8740 0.6431 0.2334  2 Ho 2.55-2.60, 1 Tb 2.72
Ho 0.3759 0.8557 0.9721  1 Ni 2.59
Ho 0.3762 0.8790 0.3963  1 Ni 2.55
Ho 0.8760 0.9576 0.6965  2 Ni 3.02, 1 Ho 3.33, 2 Tb 3.33
Ho 0.8755 0.4967 0.9295  1 Ni 2.60
Ho 0.8752 0.4737 0.5051  1 Ni 2.55
Ho 0.3753 0.3950 0.2051  2 Ni 3.02-3.03, 2 Tb 3.33, 1 Ho 3.33
Tb 0.8758 0.0624 0.1802  1 Ni 2.72
Tb 0.3756 0.2903 0.7214  1 Ni 2.73

Output
calculated volume = 268 Å³ per cell
total moment = 0.00 μB/cell
DOS at the Fermi energy = 13.3 states/eV per cell

=====

*y*
TbHo3Ni after structural relaxation. Source: Alexandria via LeMat-Bulk, functional GGA-PBE.

abc: 5.2825 5.2825 5.2825
angles: 90.00 90.00 90.00
Last column: nearest neighbours and their distance in Å.
Fractional coordinates of all 5 atoms:
Ho 0.5000 0.0000 0.0000  2 Ni 2.64
Ho 0.0000 0.5000 0.0000  2 Ni 2.64
Ho 0.0000 0.0000 0.5000  2 Ni 2.64
Ni 0.0000 0.0000 0.0000  6 Ho 2.64
Tb 0.5000 0.5000 0.5000  12 Ho 3.74

Output
calculated volume = 147 Å³ per cell
total moment = 0.00 μB/cell
DOS at the Fermi energy = 9.3 states/eV per cell

=====

The winner here is *w*, beating the second structure by 5.9 kJ/mol of atoms.

=====

*w*
Tb2HoNi2 after structural relaxation. Source: Alexandria via LeMat-Bulk, functional GGA-PBE.

abc: 5.7888 6.3544 7.1310
angles: 99.85 90.00 117.10
Last column: nearest neighbours and their distance in Å.
Fractional coordinates of all 10 atoms:
Tb 0.7681 0.3179 0.6540  4 Ni 2.83-2.93
Tb 0.5498 0.3179 0.1540  4 Ni 2.83-2.93
Tb 0.4502 0.6821 0.8460  4 Ni 2.83-2.93
Tb 0.2319 0.6821 0.3460  4 Ni 2.83-2.93
Ni 0.9780 0.6780 0.9892  1 Ni 2.42, 1 Ho 2.69
Ni 0.0220 0.3220 0.0108  1 Ni 2.42, 1 Ho 2.69
Ni 0.3000 0.3220 0.5108  1 Ni 2.42, 1 Ho 2.69
Ni 0.7000 0.6780 0.4892  1 Ni 2.42, 1 Ho 2.69
Ho 0.0902 0.0000 0.7500  4 Ni 2.69-2.74
Ho 0.9098 0.0000 0.2500  4 Ni 2.69-2.74

Output
calculated volume = 229 Å³ per cell
total moment = 0.00 μB/cell
DOS at the Fermi energy = 10.3 states/eV per cell

=====

*x*
Tb2HoNi2 after structural relaxation. Source: Alexandria via LeMat-Bulk, functional GGA-PBE.

abc: 3.8150 5.5941 5.9773
angles: 105.84 108.61 90.00
Last column: nearest neighbours and their distance in Å.
Fractional coordinates of all 5 atoms:
Tb 0.3464 0.3916 0.6927  4 Ni 2.70-2.90
Tb 0.6536 0.6084 0.3073  4 Ni 2.70-2.90
Ni 0.3027 0.8773 0.6055  4 Tb 2.70-2.90, 2 Ni 2.81, 2 Ho 2.87
Ni 0.6973 0.1227 0.3945  4 Tb 2.70-2.90, 2 Ni 2.81, 2 Ho 2.87
Ho 0.0000 0.0000 0.0000  4 Ni 2.87

Output
calculated volume = 116 Å³ per cell
total moment = 0.00 μB/cell
DOS at the Fermi energy = 5.2 states/eV per cell

=====

The winner here is *w*, beating the second structure by 9.3 kJ/mol of atoms.